1.
DFT (PBE) results for crystalline SrTa2P at its relaxed geometry.

extended XYZ file:
```
4
Lattice="1.6813 -3.8160 3.9754 0.0954 1.5304 5.5535 -3.6272 0.2433 -4.4695" Properties=species:S:1:pos:R:3 pbc="T T T"
Sr 0.0000 0.0000 0.0000
Ta -0.5288 -2.3578 2.1352
Ta -1.3217 0.3154 2.9242
P 0.8883 -1.1428 4.7644
```

* energy of formation from the pure elements: 2.65 eV/f.u.

2.
DFT (PBE) results for crystalline BPd3 at its relaxed geometry.

extended XYZ file:
```
8
Lattice="4.8569 0.0000 0.0000 0.0000 4.4077 -2.5448 0.0000 0.0000 5.0896" Properties=species:S:1:pos:R:3 pbc="T T T"
B 3.5159 1.4692 2.5448
B 1.0874 2.9385 0.0000
Pd 2.3024 1.4191 -0.8189
Pd 4.7309 2.9886 3.3637
Pd 4.7309 0.0004 3.4511
Pd 2.3024 2.9890 1.7252
Pd 2.3024 4.4073 -0.9063
Pd 4.7309 1.4187 0.8196
```

* energy of formation from the pure elements: -0.95 eV/f.u.

3.
DFT (PBE) results for crystalline AsPt2Pb at its relaxed geometry.

extended XYZ file:
```
4
Lattice="5.3307 0.0251 0.0000 2.1549 4.8758 0.0000 -3.7428 -2.4504 2.8989" Properties=species:S:1:pos:R:3 pbc="T T T"
Pb 2.6653 0.0126 1.4494
As 3.7428 2.4504 0.0000
Pt 0.0000 0.0000 0.0000
Pt 1.0774 2.4379 1.4494
```

* energy of formation from the pure elements: 0.41 eV/f.u.

4.
DFT (PBE) results for crystalline Tb8Ho3Mg at its relaxed geometry.

extended XYZ file:
```
12
Lattice="-1.1548 4.2513 -3.5115 -7.7082 -4.6105 -3.0480 -10.4434 -0.8452 2.4097" Properties=species:S:1:pos:R:3 pbc="T T T"
Tb -5.0606 -1.6477 -2.5895
Tb -6.4554 0.2271 0.1385
Tb -16.3431 -1.7243 -3.4925
Tb -8.5201 -1.9359 -1.8018
Tb -10.7784 0.7217 -2.3611
Tb -2.8804 0.5512 -0.6431
Tb -14.1789 0.4624 -1.5555
Tb -12.8282 -1.4112 -4.2682
Ho -9.9187 -0.0234 0.9736
Ho -7.2298 1.0340 -3.1493
Ho -9.3475 -1.1400 -5.0849
Mg -12.0260 -2.2052 -0.9745
```

* energy of formation from the pure elements: 0.18 eV/f.u.

5.
DFT (PBE) results for crystalline Pr8CoSi3Br4 at its relaxed geometry.

extended XYZ file:
```
16
Lattice="8.5376 0.0000 0.0000 0.0000 8.9110 0.2510 -4.2688 -4.2714 6.0485" Properties=species:S:1:pos:R:3 pbc="T T T"
Pr -2.2369 2.1002 6.0882
Pr 0.0000 4.3378 2.9502
Pr 0.0000 0.3033 3.2374
Pr 2.2369 2.1002 6.0882
Pr 2.0319 2.5394 0.2114
Pr 4.2688 4.3363 3.0622
Pr 4.2688 0.3017 3.3493
Pr 6.5057 2.5394 0.2114
Co 0.0000 4.4555 0.1255
Si 4.2688 4.4555 0.1255
Si 2.1344 2.3198 3.1498
Si -2.1344 2.3198 3.1498
Br 4.2688 0.0000 0.0000
Br 2.1344 -2.1357 3.0243
Br 0.0000 0.0000 0.0000
Br -2.1344 -2.1357 3.0243
```

* ΔE_f (raw): -0.95 eV per atom

6.
DFT (PBE) results for crystalline HoBeC at its relaxed geometry.

extended XYZ file:
```
12
Lattice="3.2658 0.0000 0.0000 0.0000 5.2845 0.0000 0.0000 0.0000 9.6949" Properties=species:S:1:pos:R:3 pbc="T T T"
Ho 2.4493 4.7208 6.2060
Ho 2.4493 2.0785 8.3362
Ho 0.8164 3.2060 1.3586
Ho 0.8164 0.5637 3.4888
Be 2.4493 3.0644 4.1573
Be 2.4493 0.4221 0.6901
Be 0.8164 4.8625 9.0047
Be 0.8164 2.2202 5.5376
C 0.8164 3.8337 4.6658
C 2.4493 1.4508 5.0291
C 2.4493 4.0931 9.5132
C 0.8164 1.1914 0.1816
```

* excess energy over the best structure of this formula in the dataset: 133 meV per atom
* energy of formation from the pure elements: -0.45 eV/f.u.

7.
DFT (PBE) results for crystalline Ca2AlRu at its relaxed geometry.

extended XYZ file:
```
4
Lattice="5.0629 -0.0627 0.0000 0.8306 4.9947 0.0000 -2.9468 -2.4660 3.2974" Properties=species:S:1:pos:R:3 pbc="T T T"
Ru 2.9468 2.4660 0.0000
Ca 0.0000 0.0000 0.0000
Ca 0.4153 2.4974 1.6487
Al 2.5315 -0.0313 1.6487
```

* excess energy over the best structure of this formula in the dataset: 299 meV per atom
* energy of formation from the pure elements: 0.38 eV/f.u.

8.
DFT (PBE) results for crystalline AcCuCO5 at its relaxed geometry.

extended XYZ file:
```
16
Lattice="5.8702 0.9583 -0.2742 -0.7971 5.8943 -0.2742 -2.4922 -3.3663 7.8353" Properties=species:S:1:pos:R:3 pbc="T T T"
Ac -1.2461 -1.6831 3.9177
Ac 0.0000 0.0000 0.0000
Cu 0.8893 3.3430 1.6846
Cu 1.6917 0.1432 5.6023
C 2.8868 1.8642 1.6846
C -0.3058 1.6220 5.6023
O -0.5277 4.3920 1.6846
O 3.1086 -0.9058 5.6023
O 3.8861 1.9430 0.7915
O -1.3051 1.5432 6.4954
O 3.1031 0.8854 2.5777
O -0.5221 2.6008 4.7091
O 2.6415 3.1486 2.3249
O -0.0605 0.3376 4.9620
O 1.5866 1.7238 1.0443
O 0.9943 1.7624 6.2425
```

* ΔE_f (raw): -1.53 eV per atom

9.
DFT (PBE) results for crystalline Y2HoEr8 at its relaxed geometry.

extended XYZ file:
```
11
Lattice="5.5583 1.8674 0.0000 2.9037 8.5718 0.0000 1.4519 4.2859 8.2750" Properties=species:S:1:pos:R:3 pbc="T T T"
Y 1.4519 4.2859 3.1436
Y 2.9037 8.5718 5.1314
Ho 2.7792 0.9337 0.0000
Er 5.0742 3.3951 2.0628
Er 6.5260 7.6810 6.2122
Er 2.8874 4.4117 0.0000
Er 5.6829 9.5055 3.3468
Er 4.2310 5.2196 4.9282
Er 5.5747 6.0275 0.0000
Er 3.3879 7.0440 2.0628
Er 4.8397 11.3299 6.2122
```

* excess energy over the best structure of this formula in the dataset: 0 meV per atom
* energy of formation from the pure elements: 1.76 eV/f.u.

10.
DFT (PBE) results for crystalline Tb2TmU at its relaxed geometry.

extended XYZ file:
```
4
Lattice="3.2889 0.0000 0.0000 1.6444 2.8483 0.0000 1.6444 0.9494 12.1658" Properties=species:S:1:pos:R:3 pbc="T T T"
Tb 1.6444 0.9494 8.9652
Tb 4.9333 2.8483 3.2005
Tm 3.2889 1.8988 6.0829
U 0.0000 0.0000 0.0000
```

* energy of formation from the pure elements: 1.76 eV/f.u.

11.
DFT (PBE) results for crystalline NdAg3Hg3 at its relaxed geometry.

extended XYZ file:
```
14
Lattice="7.5472 0.0000 0.0000 0.0000 7.5472 0.0000 0.0000 0.0000 7.5472" Properties=species:S:1:pos:R:3 pbc="T T T"
Nd 3.7736 3.7736 3.7736
Nd 0.0000 0.0000 0.0000
Hg 1.8868 0.0000 3.7736
Hg 0.0000 3.7736 1.8868
Hg 3.7736 5.6604 0.0000
Hg 5.6604 0.0000 3.7736
Hg 0.0000 3.7736 5.6604
Hg 3.7736 1.8868 0.0000
Ag 0.0000 1.8868 3.7736
Ag 0.0000 5.6604 3.7736
Ag 3.7736 0.0000 5.6604
Ag 5.6604 3.7736 0.0000
Ag 3.7736 0.0000 1.8868
Ag 1.8868 3.7736 0.0000
```

* energy of formation from the pure elements: 2.95 eV/f.u.

12.
DFT (PBE) results for crystalline DyZnCuNi at its relaxed geometry.

extended XYZ file:
```
4
Lattice="4.5134 0.0000 0.0000 2.2567 3.9087 0.0000 2.2567 1.3029 3.6852" Properties=species:S:1:pos:R:3 pbc="T T T"
Ni 6.7701 3.9087 2.7639
Zn 0.0000 0.0000 0.0000
Cu 2.2567 1.3029 0.9213
Dy 4.5134 2.6058 1.8426
```

* excess energy over the best structure of this formula in the dataset: 91 meV per atom
* energy of formation from the pure elements: -0.93 eV/f.u.

Number 1: ρ 9541 kg/m³, V 83.63 Å³/cell, calculated total energy -28.1 eV per formula unit. Number 2: ρ 10061 kg/m³, V 108.96 Å³/cell, calculated total energy -23.2 eV per formula unit. Number 3: ρ 14847 kg/m³, V 75.19 Å³/cell, calculated total energy -20.0 eV per formula unit. Number 4: ρ 7901 kg/m³, V 376.30 Å³/cell, calculated total energy -52.2 eV per formula unit. Number 5: ρ 5626 kg/m³, V 469.32 Å³/cell, calculated total energy -83.6 eV per formula unit. Number 6: ρ 7382 kg/m³, V 167.32 Å³/cell, calculated total energy -18.0 eV per formula unit. Number 7: ρ 4138 kg/m³, V 83.56 Å³/cell, calculated total energy -16.6 eV per formula unit. Number 8: ρ 4748 kg/m³, V 267.56 Å³/cell, calculated total energy -54.5 eV per formula unit. Number 9: ρ 7988 kg/m³, V 349.39 Å³/cell, calculated total energy -52.2 eV per formula unit. Number 10: ρ 10561 kg/m³, V 113.96 Å³/cell, calculated total energy -23.3 eV per formula unit. Number 11: ρ 8263 kg/m³, V 429.89 Å³/cell, calculated total energy -11.3 eV per formula unit. Number 12: ρ 8944 kg/m³, V 65.01 Å³/cell, calculated total energy -16.7 eV per formula unit.